Entry 1:
{
  "formula": "TbPm2Pr5",
  "functional": "PBE",
  "state": "relaxed",
  "space_group": "No. 15",
  "polymorph_energy_mev_per_atom": 291,
  "dos_at_fermi_per_ev_fu": 13.6,
  "magnetic_moment_mub_per_fu": 0.00,
  "lattice_angstrom": [[4.425, -10.901, 0.000], [4.425, 10.901, 0.000], [-2.361, 0.000, 6.158]],
  "species": ["Tb", "Tb", "Pm", "Pm", "Pm", "Pm", "Pr", "Pr", "Pr", "Pr", "Pr", "Pr", "Pr", "Pr", "Pr", "Pr"],
  "frac_coords": [[0.000, 0.000, 0.250], [0.000, 0.000, 0.750], [0.000, 0.500, 0.000], [0.500, 0.000, 0.500], [0.500, 0.500, 0.000], [0.500, 0.500, 0.500], [0.047, 0.734, 0.466], [0.176, 0.395, 0.147], [0.266, 0.953, 0.034], [0.335, 0.665, 0.750], [0.395, 0.176, 0.647], [0.605, 0.824, 0.353], [0.665, 0.335, 0.250], [0.734, 0.047, 0.966], [0.824, 0.605, 0.853], [0.953, 0.266, 0.534]]
}


Entry 2:
{
  "formula": "Tb3Pm6Pr2",
  "functional": "PBE",
  "state": "relaxed",
  "space_group": "No. 139",
  "polymorph_energy_mev_per_atom": 102,
  "dos_at_fermi_per_ev_fu": 16.2,
  "magnetic_moment_mub_per_fu": 0.00,
  "lattice_angstrom": [[-2.406, 2.406, 17.061], [2.406, -2.406, 17.061], [2.406, 2.406, -17.061]],
  "species": ["Tb", "Tb", "Tb", "Pm", "Pm", "Pm", "Pm", "Pm", "Pm", "Pr", "Pr"],
  "frac_coords": [[0.000, 0.000, 0.000], [0.200, 0.200, 0.000], [0.800, 0.800, 0.000], [0.122, 0.622, 0.500], [0.300, 0.300, 0.000], [0.378, 0.878, 0.500], [0.622, 0.122, 0.500], [0.700, 0.700, 0.000], [0.878, 0.378, 0.500], [0.454, 0.454, 0.000], [0.546, 0.546, 0.000]]
}


Entry 3:
{
  "formula": "Tb7Pm2Pr3",
  "functional": "PBE",
  "state": "relaxed",
  "space_group": "No. 10",
  "polymorph_energy_mev_per_atom": 0,
  "dos_at_fermi_per_ev_fu": 18.1,
  "magnetic_moment_mub_per_fu": 0.00,
  "lattice_angstrom": [[6.440, 0.000, 0.000], [0.000, 3.584, 0.000], [-0.011, 0.000, 17.524]],
  "species": ["Tb", "Tb", "Tb", "Tb", "Tb", "Tb", "Tb", "Pm", "Pm", "Pr", "Pr", "Pr"],
  "frac_coords": [[0.000, 0.000, 0.000], [0.172, 0.500, 0.835], [0.246, 0.500, 0.499], [0.327, 0.000, 0.164], [0.673, 0.000, 0.836], [0.754, 0.500, 0.501], [0.828, 0.500, 0.165], [0.496, 0.500, 0.326], [0.504, 0.500, 0.674], [0.002, 0.000, 0.339], [0.500, 0.500, 0.000], [0.998, 0.000, 0.661]]
}


Entry 4:
{
  "formula": "Tb2Pm5Pr",
  "functional": "PBE",
  "state": "relaxed",
  "space_group": "No. 15",
  "polymorph_energy_mev_per_atom": 141,
  "dos_at_fermi_per_ev_fu": 13.1,
  "magnetic_moment_mub_per_fu": 0.00,
  "lattice_angstrom": [[8.416, -5.047, 0.000], [8.416, 5.047, 0.000], [-0.996, 0.000, 6.479]],
  "species": ["Tb", "Tb", "Tb", "Tb", "Pm", "Pm", "Pm", "Pm", "Pm", "Pm", "Pm", "Pm", "Pm", "Pm", "Pr", "Pr"],
  "frac_coords": [[0.169, 0.677, 0.877], [0.323, 0.831, 0.623], [0.677, 0.169, 0.377], [0.831, 0.323, 0.123], [0.003, 0.189, 0.640], [0.189, 0.003, 0.140], [0.212, 0.389, 0.482], [0.389, 0.212, 0.982], [0.445, 0.555, 0.250], [0.555, 0.445, 0.750], [0.611, 0.788, 0.018], [0.788, 0.611, 0.518], [0.811, 0.997, 0.860], [0.997, 0.811, 0.360], [0.000, 0.500, 0.000], [0.500, 0.000, 0.500]]
}


Entry 5:
{
  "formula": "TbPm8Pr5",
  "functional": "PBE",
  "state": "relaxed",
  "space_group": "No. 82",
  "dos_at_fermi_per_ev_fu": 20.6,
  "magnetic_moment_mub_per_fu": 0.00,
  "energy_ev_per_atom": -4.521,
  "lattice_angstrom": [[-4.910, 4.910, 5.157], [4.910, -4.910, 5.157], [4.910, 4.910, -5.157]],
  "species": ["Tb", "Pm", "Pm", "Pm", "Pm", "Pm", "Pm", "Pm", "Pm", "Pr", "Pr", "Pr", "Pr", "Pr"],
  "frac_coords": [[0.000, 0.000, 0.000], [0.087, 0.322, 0.400], [0.277, 0.173, 0.756], [0.313, 0.913, 0.234], [0.417, 0.520, 0.244], [0.480, 0.723, 0.897], [0.678, 0.078, 0.766], [0.827, 0.583, 0.103], [0.922, 0.687, 0.600], [0.037, 0.434, 0.818], [0.250, 0.750, 0.500], [0.566, 0.384, 0.603], [0.616, 0.219, 0.182], [0.781, 0.963, 0.397]]
}


Entry 6:
{
  "formula": "Tb5Pm3Pr4",
  "functional": "PBE",
  "state": "relaxed",
  "space_group": "No. 2",
  "polymorph_energy_mev_per_atom": 0,
  "dos_at_fermi_per_ev_fu": 16.4,
  "magnetic_moment_mub_per_fu": 0.00,
  "lattice_angstrom": [[6.299, 0.000, 0.000], [-0.006, 7.261, 0.000], [-0.011, -0.015, 8.905]],
  "species": ["Tb", "Tb", "Tb", "Tb", "Tb", "Pm", "Pm", "Pm", "Pr", "Pr", "Pr", "Pr"],
  "frac_coords": [[0.000, 0.000, 0.000], [0.334, 0.500, 0.331], [0.499, 0.252, 0.000], [0.501, 0.748, 0.000], [0.666, 0.500, 0.669], [0.000, 0.500, 0.000], [0.168, 0.251, 0.669], [0.832, 0.749, 0.331], [0.168, 0.748, 0.669], [0.332, 0.000, 0.330], [0.668, 0.000, 0.670], [0.832, 0.252, 0.331]]
}


Entry 7:
{
  "formula": "Tb4PmPr3",
  "functional": "PBE",
  "state": "relaxed",
  "space_group": "No. 31",
  "polymorph_energy_mev_per_atom": 12,
  "dos_at_fermi_per_ev_fu": 14.4,
  "magnetic_moment_mub_per_fu": 0.00,
  "lattice_angstrom": [[11.709, 0.000, 0.000], [0.000, 7.357, 0.000], [0.000, 0.000, 6.343]],
  "species": ["Tb", "Tb", "Tb", "Tb", "Tb", "Tb", "Tb", "Tb", "Pm", "Pm", "Pr", "Pr", "Pr", "Pr", "Pr", "Pr"],
  "frac_coords": [[0.000, 0.121, 0.000], [0.000, 0.878, 0.501], [0.249, 0.878, 0.833], [0.251, 0.122, 0.333], [0.500, 0.122, 0.001], [0.500, 0.879, 0.500], [0.749, 0.122, 0.333], [0.751, 0.878, 0.833], [0.000, 0.629, 0.999], [0.500, 0.371, 0.499], [0.000, 0.373, 0.499], [0.250, 0.372, 0.835], [0.250, 0.628, 0.335], [0.500, 0.627, 0.999], [0.750, 0.372, 0.835], [0.750, 0.628, 0.335]]
}


Entry 8:
{
  "formula": "Tb2Pm5Pr4",
  "functional": "PBE",
  "state": "relaxed",
  "space_group": "No. 12",
  "polymorph_energy_mev_per_atom": 0,
  "dos_at_fermi_per_ev_fu": 16.6,
  "magnetic_moment_mub_per_fu": 0.00,
  "lattice_angstrom": [[12.251, -1.792, 0.000], [12.251, 1.792, 0.000], [-0.685, 0.000, 8.829]],
  "species": ["Tb", "Tb", "Pm", "Pm", "Pm", "Pm", "Pm", "Pr", "Pr", "Pr", "Pr"],
  "frac_coords": [[0.087, 0.087, 0.198], [0.913, 0.913, 0.802], [0.000, 0.000, 0.500], [0.316, 0.316, 0.025], [0.370, 0.370, 0.454], [0.630, 0.630, 0.546], [0.684, 0.684, 0.975], [0.226, 0.226, 0.325], [0.459, 0.459, 0.154], [0.541, 0.541, 0.846], [0.774, 0.774, 0.675]]
}


Entry 9:
{
  "formula": "Tb3PmPr2",
  "functional": "PBE",
  "state": "relaxed",
  "space_group": "No. 12",
  "polymorph_energy_mev_per_atom": 0,
  "dos_at_fermi_per_ev_fu": 9.3,
  "magnetic_moment_mub_per_fu": 0.00,
  "lattice_angstrom": [[8.551, -2.815, 0.000], [8.551, 2.815, 0.000], [-5.776, 0.000, 8.488]],
  "species": ["Tb", "Tb", "Tb", "Tb", "Tb", "Tb", "Pm", "Pm", "Pr", "Pr", "Pr", "Pr"],
  "frac_coords": [[0.051, 0.051, 0.399], [0.296, 0.296, 0.578], [0.389, 0.389, 0.345], [0.611, 0.611, 0.655], [0.704, 0.704, 0.422], [0.949, 0.949, 0.601], [0.135, 0.135, 0.144], [0.865, 0.865, 0.856], [0.225, 0.225, 0.869], [0.485, 0.485, 0.136], [0.515, 0.515, 0.864], [0.775, 0.775, 0.131]]
}


Entry 10:
{
  "formula": "Tb4Pm7Pr",
  "functional": "PBE",
  "state": "relaxed",
  "space_group": "No. 12",
  "polymorph_energy_mev_per_atom": 198,
  "dos_at_fermi_per_ev_fu": 20.2,
  "magnetic_moment_mub_per_fu": 0.00,
  "lattice_angstrom": [[8.096, -3.010, 0.000], [8.096, 3.010, 0.000], [-4.191, 0.000, 8.470]],
  "species": ["Tb", "Tb", "Tb", "Tb", "Pm", "Pm", "Pm", "Pm", "Pm", "Pm", "Pm", "Pr"],
  "frac_coords": [[0.072, 0.072, 0.198], [0.171, 0.171, 0.886], [0.829, 0.829, 0.114], [0.928, 0.928, 0.802], [0.000, 0.000, 0.500], [0.285, 0.285, 0.618], [0.289, 0.289, 0.265], [0.415, 0.415, 0.051], [0.585, 0.585, 0.949], [0.711, 0.711, 0.735], [0.715, 0.715, 0.382], [0.500, 0.500, 0.500]]
}


Entry 11:
{
  "formula": "Tb7Pm4Pr2",
  "functional": "PBE",
  "state": "relaxed",
  "space_group": "No. 162",
  "dos_at_fermi_per_ev_fu": 19.2,
  "magnetic_moment_mub_per_fu": 0.00,
  "energy_ev_per_atom": -4.534,
  "lattice_angstrom": [[6.159, 0.000, 0.000], [-3.080, 5.334, 0.000], [0.000, 0.000, 13.473]],
  "species": ["Tb", "Tb", "Tb", "Tb", "Tb", "Tb", "Tb", "Pm", "Pm", "Pm", "Pm", "Pr", "Pr"],
  "frac_coords": [[0.000, 0.000, 0.000], [0.000, 0.356, 0.216], [0.000, 0.644, 0.784], [0.356, 0.000, 0.216], [0.356, 0.356, 0.784], [0.644, 0.000, 0.784], [0.644, 0.644, 0.216], [0.000, 0.000, 0.393], [0.000, 0.000, 0.607], [0.333, 0.667, 0.500], [0.667, 0.333, 0.500], [0.333, 0.667, 0.000], [0.667, 0.333, 0.000]]
}


Entry 12:
{
  "formula": "Tb6PmPr",
  "functional": "PBE",
  "state": "relaxed",
  "space_group": "No. 12",
  "polymorph_energy_mev_per_atom": 342,
  "dos_at_fermi_per_ev_fu": 11.2,
  "magnetic_moment_mub_per_fu": 0.00,
  "lattice_angstrom": [[10.144, 0.000, 0.000], [0.000, 6.850, 0.000], [-2.173, 0.000, 8.284]],
  "species": ["Tb", "Tb", "Tb", "Tb", "Tb", "Tb", "Tb", "Tb", "Tb", "Tb", "Tb", "Tb", "Pm", "Pm", "Pr", "Pr"],
  "frac_coords": [[0.127, 0.000, 0.425], [0.197, 0.239, 0.800], [0.197, 0.761, 0.800], [0.303, 0.261, 0.200], [0.303, 0.739, 0.200], [0.373, 0.500, 0.575], [0.627, 0.500, 0.425], [0.697, 0.261, 0.800], [0.697, 0.739, 0.800], [0.803, 0.239, 0.200], [0.803, 0.761, 0.200], [0.873, 0.000, 0.575], [0.000, 0.500, 0.500], [0.500, 0.000, 0.500], [0.000, 0.500, 0.000], [0.500, 0.000, 0.000]]
}


Entry 13:
{
  "formula": "Tb2Pm6Pr5",
  "functional": "PBE",
  "state": "relaxed",
  "space_group": "No. 55",
  "dos_at_fermi_per_ev_fu": 15.6,
  "magnetic_moment_mub_per_fu": 0.00,
  "energy_ev_per_atom": -4.655,
  "lattice_angstrom": [[11.871, 0.000, 0.000], [0.000, 21.003, 0.000], [0.000, 0.000, 3.669]],
  "species": ["Tb", "Tb", "Tb", "Tb", "Pm", "Pm", "Pm", "Pm", "Pm", "Pm", "Pm", "Pm", "Pm", "Pm", "Pm", "Pm", "Pr", "Pr", "Pr", "Pr", "Pr", "Pr", "Pr", "Pr", "Pr", "Pr"],
  "frac_coords": [[0.171, 0.211, 0.000], [0.329, 0.711, 0.000], [0.671, 0.289, 0.000], [0.829, 0.789, 0.000], [0.063, 0.920, 0.000], [0.082, 0.632, 0.000], [0.175, 0.362, 0.500], [0.325, 0.862, 0.500], [0.418, 0.132, 0.000], [0.437, 0.420, 0.000], [0.563, 0.580, 0.000], [0.582, 0.868, 0.000], [0.675, 0.138, 0.500], [0.825, 0.638, 0.500], [0.918, 0.368, 0.000], [0.937, 0.080, 0.000], [0.000, 0.500, 0.500], [0.085, 0.774, 0.500], [0.198, 0.053, 0.500], [0.302, 0.553, 0.500], [0.415, 0.274, 0.500], [0.500, 0.000, 0.500], [0.585, 0.726, 0.500], [0.698, 0.447, 0.500], [0.802, 0.947, 0.500], [0.915, 0.226, 0.500]]
}


Entry 14:
{
  "formula": "Tb5PmPr5",
  "functional": "PBE",
  "state": "relaxed",
  "space_group": "No. 12",
  "polymorph_energy_mev_per_atom": 0,
  "dos_at_fermi_per_ev_fu": 18.1,
  "magnetic_moment_mub_per_fu": 0.38,
  "lattice_angstrom": [[9.566, -3.040, 0.000], [9.566, 3.040, 0.000], [-2.604, 0.000, 6.595]],
  "species": ["Tb", "Tb", "Tb", "Tb", "Tb", "Pm", "Pr", "Pr", "Pr", "Pr", "Pr"],
  "frac_coords": [[0.000, 0.000, 0.000], [0.330, 0.330, 0.329], [0.377, 0.377, 0.875], [0.623, 0.623, 0.125], [0.670, 0.670, 0.671], [0.000, 0.000, 0.500], [0.175, 0.175, 0.432], [0.175, 0.175, 0.920], [0.500, 0.500, 0.500], [0.825, 0.825, 0.080], [0.825, 0.825, 0.568]]
}


Entry 15:
{
  "formula": "TbPm5Pr4",
  "functional": "PBE",
  "state": "relaxed",
  "space_group": "No. 12",
  "polymorph_energy_mev_per_atom": 0,
  "dos_at_fermi_per_ev_fu": 15.2,
  "magnetic_moment_mub_per_fu": 0.00,
  "lattice_angstrom": [[13.107, -1.836, 0.000], [13.107, 1.836, 0.000], [-1.051, 0.000, 7.249]],
  "species": ["Tb", "Pm", "Pm", "Pm", "Pm", "Pm", "Pr", "Pr", "Pr", "Pr"],
  "frac_coords": [[0.000, 0.000, 0.000], [0.000, 0.000, 0.500], [0.199, 0.199, 0.600], [0.401, 0.401, 0.200], [0.599, 0.599, 0.800], [0.801, 0.801, 0.400], [0.200, 0.200, 0.100], [0.401, 0.401, 0.701], [0.599, 0.599, 0.299], [0.800, 0.800, 0.900]]
}


Entry 16:
{
  "formula": "Tb4Pm3Pr4",
  "functional": "PBE",
  "state": "relaxed",
  "space_group": "No. 71",
  "polymorph_energy_mev_per_atom": 0,
  "dos_at_fermi_per_ev_fu": 16.3,
  "magnetic_moment_mub_per_fu": 0.00,
  "lattice_angstrom": [[-1.816, 4.790, 11.120], [1.816, -4.790, 11.120], [1.816, 4.790, -11.120]],
  "species": ["Tb", "Tb", "Tb", "Tb", "Pm", "Pm", "Pm", "Pr", "Pr", "Pr", "Pr"],
  "frac_coords": [[0.183, 0.000, 0.183], [0.240, 0.240, 0.000], [0.760, 0.760, 0.000], [0.817, 0.000, 0.817], [0.107, 0.607, 0.500], [0.500, 0.500, 0.000], [0.893, 0.393, 0.500], [0.177, 0.854, 0.323], [0.468, 0.146, 0.323], [0.532, 0.854, 0.677], [0.823, 0.146, 0.677]]
}


Entry 17:
{
  "formula": "Tb3PmPr7",
  "functional": "PBE",
  "state": "relaxed",
  "space_group": "No. 12",
  "polymorph_energy_mev_per_atom": 9,
  "dos_at_fermi_per_ev_fu": 15.4,
  "magnetic_moment_mub_per_fu": 0.00,
  "lattice_angstrom": [[5.952, -5.165, 0.000], [5.952, 5.165, 0.000], [-0.681, 0.000, 6.465]],
  "species": ["Tb", "Tb", "Tb", "Pm", "Pr", "Pr", "Pr", "Pr", "Pr", "Pr", "Pr"],
  "frac_coords": [[0.000, 0.000, 0.000], [0.169, 0.831, 0.500], [0.831, 0.169, 0.500], [0.500, 0.500, 0.000], [0.073, 0.424, 0.239], [0.235, 0.235, 0.713], [0.424, 0.073, 0.239], [0.500, 0.500, 0.500], [0.576, 0.927, 0.761], [0.765, 0.765, 0.287], [0.927, 0.576, 0.761]]
}


Entry 18:
{
  "formula": "Tb7Pm2Pr3",
  "functional": "PBE",
  "state": "relaxed",
  "space_group": "No. 10",
  "polymorph_energy_mev_per_atom": 6,
  "dos_at_fermi_per_ev_fu": 14.5,
  "magnetic_moment_mub_per_fu": 0.00,
  "lattice_angstrom": [[5.902, 0.000, 0.000], [0.000, 3.615, 0.000], [-1.048, 0.000, 19.000]],
  "species": ["Tb", "Tb", "Tb", "Tb", "Tb", "Tb", "Tb", "Pm", "Pm", "Pr", "Pr", "Pr"],
  "frac_coords": [[0.000, 0.000, 0.000], [0.193, 0.500, 0.173], [0.257, 0.500, 0.538], [0.309, 0.000, 0.857], [0.691, 0.000, 0.143], [0.743, 0.500, 0.462], [0.807, 0.500, 0.827], [0.287, 0.500, 0.707], [0.713, 0.500, 0.293], [0.224, 0.000, 0.367], [0.500, 0.500, 0.000], [0.776, 0.000, 0.633]]
}


Entry 19:
{
  "formula": "Tb12Pm3Pr",
  "functional": "PBE",
  "state": "relaxed",
  "space_group": "No. 123",
  "dos_at_fermi_per_ev_fu": 22.2,
  "magnetic_moment_mub_per_fu": 0.00,
  "energy_ev_per_atom": -4.645,
  "lattice_angstrom": [[5.072, 0.000, 0.000], [0.000, 5.072, 0.000], [0.000, 0.000, 20.277]],
  "species": ["Tb", "Tb", "Tb", "Tb", "Tb", "Tb", "Tb", "Tb", "Tb", "Tb", "Tb", "Tb", "Pm", "Pm", "Pm", "Pr"],
  "frac_coords": [[0.000, 0.000, 0.000], [0.000, 0.000, 0.249], [0.000, 0.000, 0.500], [0.000, 0.000, 0.751], [0.000, 0.500, 0.125], [0.000, 0.500, 0.374], [0.000, 0.500, 0.626], [0.000, 0.500, 0.875], [0.500, 0.000, 0.125], [0.500, 0.000, 0.374], [0.500, 0.000, 0.626], [0.500, 0.000, 0.875], [0.500, 0.500, 0.000], [0.500, 0.500, 0.250], [0.500, 0.500, 0.750], [0.500, 0.500, 0.500]]
}


Entry 20:
{
  "formula": "TbPmPr2",
  "functional": "PBE",
  "state": "relaxed",
  "space_group": "No. 160",
  "polymorph_energy_mev_per_atom": 5,
  "dos_at_fermi_per_ev_fu": 5.9,
  "magnetic_moment_mub_per_fu": 0.00,
  "lattice_angstrom": [[3.672, 0.000, 0.000], [-1.836, 3.180, 0.000], [0.000, 0.000, 35.707]],
  "species": ["Tb", "Tb", "Tb", "Pm", "Pm", "Pm", "Pr", "Pr", "Pr", "Pr", "Pr", "Pr"],
  "frac_coords": [[0.000, 0.000, 0.000], [0.333, 0.667, 0.667], [0.667, 0.333, 0.333], [0.000, 0.000, 0.833], [0.333, 0.667, 0.499], [0.667, 0.333, 0.166], [0.000, 0.000, 0.415], [0.000, 0.000, 0.584], [0.333, 0.667, 0.082], [0.333, 0.667, 0.250], [0.667, 0.333, 0.749], [0.667, 0.333, 0.917]]
}